No. 1
Material: La3HN2
Method: DFT, PBE
State: optimized geometry

Cell and atoms, written as CIF:
```
data_La3HN2
_cell_length_a 3.604
_cell_length_b 12.950
_cell_length_c 11.524
_cell_angle_alpha 90.00
_cell_angle_beta 90.00
_cell_angle_gamma 90.00
_space_group_name_H-M_alt 'C m c m'
_space_group_IT_number 63
_space_group_name_Hall '-C 2c 2'
loop_
_atom_site_label
_atom_site_type_symbol
_atom_site_fract_x
_atom_site_fract_y
_atom_site_fract_z
La1 La 0.000 0.106 0.087
La2 La 0.000 0.387 0.250
H1 H 0.000 0.291 0.750
N1 N 0.000 0.003 0.750
N2 N 0.000 0.500 0.000
```

Its total energy is -6.70 eV per atom. Its energy above the most stable polymorph in this dataset is 150 meV per atom.


No. 2
Material: La2HN2
Method: DFT, PBE
State: optimized geometry

Cell and atoms, written as CIF:
```
data_La2HN2
_cell_length_a 4.1024
_cell_length_b 4.1024
_cell_length_c 6.0127
_cell_angle_alpha 90.00
_cell_angle_beta 90.00
_cell_angle_gamma 120.00
_space_group_name_H-M_alt 'P -3 m 1'
_space_group_IT_number 164
_space_group_name_Hall '-P 3 2"'
loop_
_atom_site_label
_atom_site_type_symbol
_atom_site_fract_x
_atom_site_fract_y
_atom_site_fract_z
La1 La 0.3333 0.6667 0.2593
H1 H 0.0000 0.0000 0.0000
N1 N 0.3333 0.6667 0.6670
```

Its total energy is -6.88 eV per atom. Its energy above the most stable polymorph in this dataset is 0 meV per atom.


No. 3
Material: LaH3N
Method: DFT, PBE
State: optimized geometry

Cell and atoms, written as CIF:
```
data_LaH3N
_cell_length_a 4.563
_cell_length_b 4.563
_cell_length_c 4.563
_cell_angle_alpha 90.00
_cell_angle_beta 90.00
_cell_angle_gamma 90.00
_space_group_name_H-M_alt 'P m -3 m'
_space_group_IT_number 221
_space_group_name_Hall '-P 4 2 3'
loop_
_atom_site_label
_atom_site_type_symbol
_atom_site_fract_x
_atom_site_fract_y
_atom_site_fract_z
La1 La 0.000 0.000 0.000
H1 H 0.000 0.000 0.500
N1 N 0.500 0.500 0.500
```

Its total energy is -3.80 eV per atom. Its energy above the most stable polymorph in this dataset is 393 meV per atom.